# RbLiH4S2N2O6

A relaxed structure of RbLiH4S2N2O6 (GGA-PBE, Alexandria).

Summary:
SG: No. 2
Total DFT energy (no corrections), eV per formula unit: -89.6
ρ, g/cm3: 2.32
Total moment, μB/atom: 0.0000

CIF file:
```
data_RbLiH4S2N2O6
_cell_length_a 7.995
_cell_length_b 9.974
_cell_length_c 10.957
_cell_angle_alpha 109.06
_cell_angle_beta 92.24
_cell_angle_gamma 97.60
_symmetry_space_group_name_H-M 'P 1'
_symmetry_Int_Tables_number 1
loop_
_symmetry_equiv_pos_as_xyz
'x,y,z'
loop_
_atom_site_label
_atom_site_type_symbol
_atom_site_fract_x
_atom_site_fract_y
_atom_site_fract_z
Rb1 Rb 0.218 0.402 0.339
Rb2 Rb 0.235 0.395 0.857
Rb3 Rb 0.765 0.605 0.143
Rb4 Rb 0.782 0.598 0.661
Li1 Li 0.108 0.775 0.950
Li2 Li 0.121 0.790 0.459
Li3 Li 0.879 0.210 0.541
Li4 Li 0.892 0.225 0.050
H1 H 0.043 0.033 0.827
H2 H 0.236 0.993 0.786
H3 H 0.314 0.919 0.251
H4 H 0.433 0.317 0.574
H5 H 0.451 0.847 0.144
H6 H 0.463 0.838 0.659
H7 H 0.464 0.833 0.813
H8 H 0.490 0.177 0.612
H9 H 0.510 0.823 0.388
H10 H 0.536 0.167 0.187
H11 H 0.537 0.162 0.341
H12 H 0.549 0.153 0.856
H13 H 0.567 0.683 0.426
H14 H 0.686 0.081 0.749
H15 H 0.764 0.007 0.214
H16 H 0.957 0.967 0.173
S1 S 0.235 0.106 0.999
S2 S 0.238 0.120 0.492
S3 S 0.262 0.677 0.173
S4 S 0.271 0.663 0.675
S5 S 0.729 0.337 0.325
S6 S 0.738 0.323 0.827
S7 S 0.762 0.880 0.508
S8 S 0.765 0.894 0.001
N1 N 0.171 0.070 0.843
N2 N 0.385 0.837 0.220
N3 N 0.390 0.824 0.731
N4 N 0.435 0.208 0.541
N5 N 0.565 0.792 0.459
N6 N 0.610 0.176 0.269
N7 N 0.615 0.163 0.780
N8 N 0.829 0.930 0.157
O1 O 0.123 0.213 0.568
O2 O 0.136 0.218 0.069
O3 O 0.137 0.665 0.065
O4 O 0.163 0.667 0.565
O5 O 0.173 0.654 0.784
O6 O 0.176 0.673 0.288
O7 O 0.200 0.976 0.036
O8 O 0.214 0.100 0.353
O9 O 0.239 0.986 0.520
O10 O 0.378 0.549 0.635
O11 O 0.379 0.573 0.135
O12 O 0.416 0.159 0.010
O13 O 0.584 0.841 0.990
O14 O 0.621 0.427 0.865
O15 O 0.622 0.451 0.365
O16 O 0.761 0.014 0.480
O17 O 0.786 0.900 0.647
O18 O 0.800 0.024 0.964
O19 O 0.824 0.327 0.712
O20 O 0.827 0.346 0.216
O21 O 0.837 0.333 0.435
O22 O 0.863 0.335 0.935
O23 O 0.864 0.782 0.931
O24 O 0.877 0.787 0.432
```

***

# LiH5SN2O4

A relaxed structure of LiH5SN2O4 (GGA-PBE, Alexandria).

Summary:
SG: No. 33
Total DFT energy (no corrections), eV per formula unit: -71.7
ρ, g/cm3: 1.92
Total moment, μB/atom: 0.0000

CIF file:
```
data_LiH5SN2O4
_cell_length_a 10.093
_cell_length_b 9.155
_cell_length_c 5.093
_cell_angle_alpha 90.00
_cell_angle_beta 90.00
_cell_angle_gamma 90.00
_symmetry_space_group_name_H-M 'P 1'
_symmetry_Int_Tables_number 1
loop_
_symmetry_equiv_pos_as_xyz
'x,y,z'
loop_
_atom_site_label
_atom_site_type_symbol
_atom_site_fract_x
_atom_site_fract_y
_atom_site_fract_z
Li1 Li 0.167 0.068 0.000
Li2 Li 0.333 0.568 0.500
Li3 Li 0.667 0.432 0.000
Li4 Li 0.833 0.932 0.500
H1 H 0.006 0.524 0.811
H2 H 0.026 0.221 0.325
H3 H 0.039 0.234 0.660
H4 H 0.121 0.607 0.991
H5 H 0.153 0.315 0.457
H6 H 0.347 0.815 0.957
H7 H 0.379 0.107 0.491
H8 H 0.461 0.734 0.160
H9 H 0.474 0.721 0.825
H10 H 0.494 0.024 0.311
H11 H 0.506 0.976 0.811
H12 H 0.526 0.279 0.325
H13 H 0.539 0.266 0.660
H14 H 0.621 0.893 0.991
H15 H 0.653 0.185 0.457
H16 H 0.847 0.685 0.957
H17 H 0.879 0.393 0.491
H18 H 0.961 0.766 0.160
H19 H 0.974 0.779 0.825
H20 H 0.994 0.476 0.311
S1 S 0.161 0.870 0.505
S2 S 0.339 0.370 0.005
S3 S 0.661 0.630 0.505
S4 S 0.839 0.130 0.005
N1 N 0.023 0.578 0.989
N2 N 0.053 0.289 0.482
N3 N 0.447 0.789 0.982
N4 N 0.477 0.078 0.489
N5 N 0.523 0.922 0.989
N6 N 0.553 0.211 0.482
N7 N 0.947 0.711 0.982
N8 N 0.977 0.422 0.489
O1 O 0.014 0.842 0.482
O2 O 0.192 0.889 0.790
O3 O 0.194 0.006 0.361
O4 O 0.233 0.743 0.397
O5 O 0.267 0.243 0.897
O6 O 0.306 0.506 0.861
O7 O 0.308 0.389 0.290
O8 O 0.486 0.342 0.982
O9 O 0.514 0.658 0.482
O10 O 0.692 0.611 0.790
O11 O 0.694 0.494 0.361
O12 O 0.733 0.757 0.397
O13 O 0.767 0.257 0.897
O14 O 0.806 0.994 0.861
O15 O 0.808 0.111 0.290
O16 O 0.986 0.158 0.982
```

***

# LiPH2N

A relaxed structure of LiPH2N (GGA-PBE, Alexandria).

Summary:
SG: No. 123
Total DFT energy (no corrections), eV per formula unit: -21.6
ρ, g/cm3: 2.25
Total moment, μB/atom: 0.0000

CIF file:
```
data_LiPH2N
_cell_length_a 3.310
_cell_length_b 3.310
_cell_length_c 3.637
_cell_angle_alpha 90.00
_cell_angle_beta 90.00
_cell_angle_gamma 90.00
_symmetry_space_group_name_H-M 'P 1'
_symmetry_Int_Tables_number 1
loop_
_symmetry_equiv_pos_as_xyz
'x,y,z'
loop_
_atom_site_label
_atom_site_type_symbol
_atom_site_fract_x
_atom_site_fract_y
_atom_site_fract_z
Li1 Li 0.000 0.000 0.000
P1 P 0.500 0.500 0.500
H1 H 0.000 0.500 0.500
H2 H 0.500 0.000 0.500
N1 N 0.500 0.500 0.000
```

***

# LiPH21S3N7

A relaxed structure of LiPH21S3N7 (GGA-PBE, Alexandria).

Summary:
SG: No. 2
Total DFT energy (no corrections), eV per formula unit: -162.9
ρ, g/cm3: 1.22
Total moment, μB/atom: 0.0000

CIF file:
```
data_LiPH21S3N7
_cell_length_a 7.263
_cell_length_b 7.495
_cell_length_c 13.273
_cell_angle_alpha 87.96
_cell_angle_beta 87.72
_cell_angle_gamma 73.39
_symmetry_space_group_name_H-M 'P 1'
_symmetry_Int_Tables_number 1
loop_
_symmetry_equiv_pos_as_xyz
'x,y,z'
loop_
_atom_site_label
_atom_site_type_symbol
_atom_site_fract_x
_atom_site_fract_y
_atom_site_fract_z
Li1 Li 0.073 0.272 0.421
Li2 Li 0.927 0.728 0.579
P1 P 0.446 0.675 0.804
P2 P 0.554 0.325 0.196
H1 H 0.012 0.058 0.284
H2 H 0.015 0.366 0.622
H3 H 0.036 0.154 0.978
H4 H 0.042 0.689 0.111
H5 H 0.099 0.101 0.859
H6 H 0.101 0.518 0.281
H7 H 0.133 0.459 0.698
H8 H 0.144 0.665 0.857
H9 H 0.156 0.891 0.468
H10 H 0.192 0.146 0.252
H11 H 0.236 0.942 0.308
H12 H 0.241 0.856 0.093
H13 H 0.250 0.769 0.567
H14 H 0.260 0.668 0.458
H15 H 0.306 0.561 0.942
H16 H 0.350 0.338 0.539
H17 H 0.360 0.118 0.548
H18 H 0.397 0.990 0.109
H19 H 0.423 0.206 0.440
H20 H 0.446 0.768 0.159
H21 H 0.467 0.804 0.032
H22 H 0.533 0.196 0.968
H23 H 0.554 0.232 0.841
H24 H 0.577 0.794 0.560
H25 H 0.603 0.010 0.891
H26 H 0.640 0.882 0.452
H27 H 0.650 0.662 0.461
H28 H 0.694 0.439 0.058
H29 H 0.740 0.332 0.542
H30 H 0.750 0.231 0.433
H31 H 0.759 0.144 0.907
H32 H 0.764 0.058 0.692
H33 H 0.808 0.854 0.748
H34 H 0.844 0.109 0.532
H35 H 0.856 0.335 0.143
H36 H 0.867 0.541 0.302
H37 H 0.899 0.482 0.719
H38 H 0.901 0.899 0.141
H39 H 0.958 0.311 0.889
H40 H 0.964 0.846 0.022
H41 H 0.985 0.634 0.378
H42 H 0.988 0.942 0.716
S1 S 0.328 0.330 0.106
S2 S 0.348 0.919 0.726
S3 S 0.494 0.549 0.288
S4 S 0.506 0.451 0.712
S5 S 0.652 0.081 0.274
S6 S 0.672 0.670 0.894
N1 N 0.003 0.481 0.664
N2 N 0.012 0.829 0.093
N3 N 0.140 0.072 0.308
N4 N 0.172 0.765 0.505
N5 N 0.267 0.669 0.890
N6 N 0.324 0.232 0.500
N7 N 0.390 0.856 0.098
N8 N 0.610 0.144 0.902
N9 N 0.676 0.768 0.500
N10 N 0.733 0.331 0.110
N11 N 0.828 0.235 0.495
N12 N 0.860 0.928 0.692
N13 N 0.988 0.171 0.907
N14 N 0.997 0.519 0.336
```

***

# LiPa2HN4

A relaxed structure of LiPa2HN4 (GGA-PBE, Alexandria).

Summary:
SG: No. 10
Total DFT energy (no corrections), eV per formula unit: -65.9
ρ, g/cm3: 8.64
Total moment, μB/atom: 0.0000

CIF file:
```
data_LiPa2HN4
_cell_length_a 5.047
_cell_length_b 3.604
_cell_length_c 5.591
_cell_angle_alpha 90.00
_cell_angle_beta 96.09
_cell_angle_gamma 90.00
_symmetry_space_group_name_H-M 'P 1'
_symmetry_Int_Tables_number 1
loop_
_symmetry_equiv_pos_as_xyz
'x,y,z'
loop_
_atom_site_label
_atom_site_type_symbol
_atom_site_fract_x
_atom_site_fract_y
_atom_site_fract_z
Li1 Li 0.000 0.000 0.000
Pa1 Pa 0.000 0.000 0.500
Pa2 Pa 0.500 0.500 0.000
H1 H 0.500 0.500 0.500
N1 N 0.246 0.500 0.358
N2 N 0.288 0.000 0.835
N3 N 0.712 0.000 0.165
N4 N 0.754 0.500 0.642
```

***

# LiPmHN

A relaxed structure of LiPmHN (GGA-PBE, Alexandria).

Summary:
SG: No. 216
Total DFT energy (no corrections), eV per formula unit: -21.2
ρ, g/cm3: 5.94
Total moment, μB/atom: 0.0000

CIF file:
```
data_LiPmHN
_cell_length_a 4.042
_cell_length_b 4.042
_cell_length_c 4.042
_cell_angle_alpha 60.00
_cell_angle_beta 60.00
_cell_angle_gamma 60.00
_symmetry_space_group_name_H-M 'P 1'
_symmetry_Int_Tables_number 1
loop_
_symmetry_equiv_pos_as_xyz
'x,y,z'
loop_
_atom_site_label
_atom_site_type_symbol
_atom_site_fract_x
_atom_site_fract_y
_atom_site_fract_z
Li1 Li 0.000 0.000 0.000
Pm1 Pm 0.500 0.500 0.500
H1 H 0.750 0.750 0.750
N1 N 0.250 0.250 0.250
```

***

# Rb2LiHN

A relaxed structure of Rb2LiHN (GGA-PBE, Alexandria).

Summary:
SG: No. 123
Total DFT energy (no corrections), eV per formula unit: -11.9
ρ, g/cm3: 2.89
Total moment, μB/atom: 0.2000

CIF file:
```
data_Rb2LiHN
_cell_length_a 5.643
_cell_length_b 5.643
_cell_length_c 3.482
_cell_angle_alpha 90.00
_cell_angle_beta 90.00
_cell_angle_gamma 90.00
_symmetry_space_group_name_H-M 'P 1'
_symmetry_Int_Tables_number 1
loop_
_symmetry_equiv_pos_as_xyz
'x,y,z'
loop_
_atom_site_label
_atom_site_type_symbol
_atom_site_fract_x
_atom_site_fract_y
_atom_site_fract_z
Rb1 Rb 0.000 0.500 0.000
Rb2 Rb 0.500 0.000 0.000
Li1 Li 0.000 0.000 0.000
H1 H 0.000 0.000 0.500
N1 N 0.500 0.500 0.500
```

***

# Li2HRuN

A relaxed structure of Li2HRuN (GGA-PBE, Alexandria).

Summary:
SG: No. 63
Total DFT energy (no corrections), eV per formula unit: -26.0
ρ, g/cm3: 4.25
Total moment, μB/atom: 0.0000

CIF file:
```
data_Li2HRuN
_cell_length_a 4.733
_cell_length_b 4.733
_cell_length_c 7.234
_cell_angle_alpha 90.00
_cell_angle_beta 90.00
_cell_angle_gamma 141.22
_symmetry_space_group_name_H-M 'P 1'
_symmetry_Int_Tables_number 1
loop_
_symmetry_equiv_pos_as_xyz
'x,y,z'
loop_
_atom_site_label
_atom_site_type_symbol
_atom_site_fract_x
_atom_site_fract_y
_atom_site_fract_z
Li1 Li 0.139 0.861 0.562
Li2 Li 0.139 0.861 0.938
Li3 Li 0.861 0.139 0.062
Li4 Li 0.861 0.139 0.438
H1 H 0.171 0.829 0.250
H2 H 0.829 0.171 0.750
Ru1 Ru 0.437 0.563 0.750
Ru2 Ru 0.563 0.437 0.250
N1 N 0.500 0.500 0.000
N2 N 0.500 0.500 0.500
```

***

# LiH6S2N2

A relaxed structure of LiH6S2N2 (GGA-PBE, Alexandria).

Summary:
SG: No. 2
Total DFT energy (no corrections), eV per formula unit: -48.8
ρ, g/cm3: 1.44
Total moment, μB/atom: 0.0000

CIF file:
```
data_LiH6S2N2
_cell_length_a 4.130
_cell_length_b 4.985
_cell_length_c 6.275
_cell_angle_alpha 81.92
_cell_angle_beta 71.17
_cell_angle_gamma 89.45
_symmetry_space_group_name_H-M 'P 1'
_symmetry_Int_Tables_number 1
loop_
_symmetry_equiv_pos_as_xyz
'x,y,z'
loop_
_atom_site_label
_atom_site_type_symbol
_atom_site_fract_x
_atom_site_fract_y
_atom_site_fract_z
Li1 Li 0.000 0.000 0.000
H1 H 0.098 0.263 0.399
H2 H 0.427 0.329 0.139
H3 H 0.499 0.740 0.601
H4 H 0.501 0.260 0.399
H5 H 0.573 0.671 0.861
H6 H 0.902 0.737 0.601
S1 S 0.366 0.808 0.265
S2 S 0.634 0.192 0.735
N1 N 0.347 0.227 0.303
N2 N 0.653 0.773 0.697
```

***

# LiH6SN2

A relaxed structure of LiH6SN2 (GGA-PBE, Alexandria).

Summary:
SG: No. 15
Total DFT energy (no corrections), eV per formula unit: -46.9
ρ, g/cm3: 1.00
Total moment, μB/atom: 0.0226

CIF file:
```
data_LiH6SN2
_cell_length_a 7.444
_cell_length_b 7.444
_cell_length_c 4.930
_cell_angle_alpha 90.14
_cell_angle_beta 90.14
_cell_angle_gamma 116.98
_symmetry_space_group_name_H-M 'P 1'
_symmetry_Int_Tables_number 1
loop_
_symmetry_equiv_pos_as_xyz
'x,y,z'
loop_
_atom_site_label
_atom_site_type_symbol
_atom_site_fract_x
_atom_site_fract_y
_atom_site_fract_z
Li1 Li 0.145 0.855 0.750
Li2 Li 0.855 0.145 0.250
H1 H 0.091 0.578 0.250
H2 H 0.155 0.420 0.084
H3 H 0.156 0.422 0.417
H4 H 0.420 0.155 0.584
H5 H 0.422 0.156 0.917
H6 H 0.422 0.909 0.250
H7 H 0.578 0.091 0.750
H8 H 0.578 0.844 0.083
H9 H 0.580 0.845 0.416
H10 H 0.844 0.578 0.583
H11 H 0.845 0.580 0.916
H12 H 0.909 0.422 0.750
S1 S 0.036 0.964 0.250
S2 S 0.964 0.036 0.750
N1 N 0.081 0.436 0.250
N2 N 0.436 0.081 0.750
N3 N 0.564 0.919 0.250
N4 N 0.919 0.564 0.750
```

***

# LiHS2N

A relaxed structure of LiHS2N (GGA-PBE, Alexandria).

Summary:
SG: No. 123
Total DFT energy (no corrections), eV per formula unit: -13.5
ρ, g/cm3: 2.06
Offset from the most stable computed form, kJ/mol of atoms: 95.0
Total moment, μB/atom: 0.1015

CIF file:
```
data_LiHS2N
_cell_length_a 4.394
_cell_length_b 4.394
_cell_length_c 3.586
_cell_angle_alpha 90.00
_cell_angle_beta 90.00
_cell_angle_gamma 90.00
_symmetry_space_group_name_H-M 'P 1'
_symmetry_Int_Tables_number 1
loop_
_symmetry_equiv_pos_as_xyz
'x,y,z'
loop_
_atom_site_label
_atom_site_type_symbol
_atom_site_fract_x
_atom_site_fract_y
_atom_site_fract_z
Li1 Li 0.000 0.000 0.000
H1 H 0.500 0.500 0.500
S1 S 0.000 0.500 0.000
S2 S 0.500 0.000 0.000
N1 N 0.000 0.000 0.500
```

***

# LiHS2N

A relaxed structure of LiHS2N (GGA-PBE, Alexandria).

Summary:
SG: No. 123
Total DFT energy (no corrections), eV per formula unit: -18.4
ρ, g/cm3: 2.51
Offset from the most stable computed form, kJ/mol of atoms: 0.0
Total moment, μB/atom: 0.0463

CIF file:
```
data_LiHS2N
_cell_length_a 4.753
_cell_length_b 4.753
_cell_length_c 2.523
_cell_angle_alpha 90.00
_cell_angle_beta 90.00
_cell_angle_gamma 90.00
_symmetry_space_group_name_H-M 'P 1'
_symmetry_Int_Tables_number 1
loop_
_symmetry_equiv_pos_as_xyz
'x,y,z'
loop_
_atom_site_label
_atom_site_type_symbol
_atom_site_fract_x
_atom_site_fract_y
_atom_site_fract_z
Li1 Li 0.000 0.000 0.000
H1 H 0.500 0.500 0.500
S1 S 0.000 0.500 0.500
S2 S 0.500 0.000 0.500
N1 N 0.500 0.500 0.000
```